Record 1
Computed, not measured: crystalline VSi2Os at its relaxed geometry at the PBE level of DFT.

Results
- crystal system = cubic

Structure (POSCAR):
```
VSi2Os
1.0
-3.309 -0.991 -2.411
-3.740 -0.780 1.774
-3.164 2.742 -0.464
Si V Os
2 1 1
Direct
0.250 0.250 0.250
0.750 0.750 0.750
0.500 0.500 0.500
0.000 0.000 0.000
```

---

Record 2
Computed, not measured: crystalline VSiOs3 at its relaxed geometry at the PBE level of DFT.

Results
- crystal system = cubic

Structure (POSCAR):
```
VSiOs3
1.0
-1.856 2.954 -2.593
2.532 -1.295 -3.287
-3.006 -2.914 -1.168
Si Os V
1 3 1
Direct
0.000 0.000 0.000
0.500 0.000 0.000
0.000 0.500 0.000
0.000 0.000 0.500
0.500 0.500 0.500
```

---

Record 3
Computed, not measured: crystalline VSiOs3 at its relaxed geometry at the PBE level of DFT.

Results
- crystal system = cubic

Structure (POSCAR):
```
VSiOs3
1.0
-3.900 -2.174 0.285
2.174 -3.910 -0.068
0.282 0.080 4.465
Os V Si
3 1 1
Direct
0.000 0.500 0.000
0.500 0.000 0.000
0.000 0.000 0.500
0.000 0.000 0.000
0.500 0.500 0.500
```

---

Record 4
Computed, not measured: crystalline V2SiOs2 at its relaxed geometry at the PBE level of DFT.

Results
- crystal system = tetragonal

Structure (POSCAR):
```
V2SiOs2
1.0
3.827 0.000 0.000
0.000 3.827 0.000
1.913 1.913 5.573
Os V Si
2 2 1
Direct
0.750 0.250 0.500
0.250 0.750 0.500
0.389 0.389 0.223
0.611 0.611 0.777
0.000 0.000 0.000
```

---

Record 5
Computed, not measured: crystalline VSi2Os at its relaxed geometry at the PBE level of DFT.

Results
- crystal system = tetragonal

Structure (POSCAR):
```
VSi2Os
1.0
-0.324 -1.566 2.419
1.085 -2.321 -1.358
5.747 1.622 1.820
V Si Os
1 2 1
Direct
0.500 0.500 0.500
0.000 0.000 0.240
0.000 0.000 0.760
0.500 0.500 0.000
```

---

Record 6
Computed, not measured: crystalline VSiOs2 at its relaxed geometry at the PBE level of DFT.

Results
- crystal system = orthorhombic

Structure (POSCAR):
```
VSiOs2
1.0
-2.267 -3.362 1.651
5.242 -6.201 -5.428
3.410 -0.437 3.793
Os Si V
8 4 4
Direct
0.750 0.578 0.374
0.750 0.346 0.680
0.750 0.078 0.874
0.750 0.846 0.180
0.250 0.922 0.874
0.250 0.654 0.680
0.250 0.422 0.374
0.250 0.154 0.180
0.750 0.086 0.395
0.750 0.586 0.895
0.250 0.914 0.395
0.250 0.414 0.895
0.750 0.328 0.152
0.250 0.172 0.652
0.250 0.672 0.152
0.750 0.828 0.652
```

---

Record 7
Computed, not measured: crystalline VSi2Os at its relaxed geometry at the PBE level of DFT.

Results
- crystal system = tetragonal

Structure (POSCAR):
```
VSi2Os
1.0
3.678 0.000 0.000
0.000 3.678 0.000
1.839 1.839 8.638
Si V Os
4 2 2
Direct
0.128 0.625 0.250
0.622 0.125 0.250
0.875 0.872 0.750
0.375 0.378 0.750
0.250 0.750 0.500
0.500 0.500 0.000
0.000 0.000 0.000
0.750 0.250 0.500
```

---

Record 8
Computed, not measured: crystalline VSiOs2 at its relaxed geometry at the PBE level of DFT.

Results
- crystal system = tetragonal

Structure (POSCAR):
```
VSiOs2
1.0
3.828 0.000 0.000
0.000 3.828 0.000
1.914 1.914 8.401
Os Si V
4 2 2
Direct
0.154 0.625 0.250
0.875 0.846 0.750
0.596 0.125 0.250
0.375 0.404 0.750
0.250 0.750 0.500
0.500 0.500 0.000
0.750 0.250 0.500
0.000 0.000 0.000
```

---

Record 9
Computed, not measured: crystalline VSiOs2 at its relaxed geometry at the PBE level of DFT.

Results
- crystal system = monoclinic

Structure (POSCAR):
```
VSiOs2
1.0
4.474 0.000 0.002
0.000 5.489 0.000
-1.593 0.000 9.023
V Os Si
4 8 4
Direct
0.335 0.351 0.150
0.665 0.851 0.350
0.335 0.851 0.650
0.665 0.351 0.850
0.315 0.808 0.105
0.685 0.308 0.395
0.172 0.144 0.886
0.315 0.308 0.605
0.828 0.644 0.614
0.172 0.644 0.386
0.828 0.144 0.114
0.685 0.808 0.895
0.829 0.595 0.139
0.171 0.595 0.861
0.829 0.095 0.639
0.171 0.095 0.361
```

---

Record 10
Computed, not measured: crystalline V3SiOs at its relaxed geometry at the PBE level of DFT.

Results
- crystal system = cubic

Structure (POSCAR):
```
V3SiOs
1.0
-3.435 -1.928 2.308
2.194 -4.003 -0.078
2.056 1.051 3.939
Si Os V
1 1 3
Direct
0.500 0.500 0.500
0.000 0.000 0.000
0.000 0.000 0.500
0.500 0.000 0.000
0.000 0.500 0.000
```

---

Record 11
Computed, not measured: crystalline VSiOs2 at its relaxed geometry at the PBE level of DFT.

Results
- crystal system = triclinic

Structure (POSCAR):
```
VSiOs2
1.0
-1.897 -2.846 -3.126
3.515 -2.195 2.544
-4.044 -0.424 3.566
Os V Si
4 2 2
Direct
0.614 0.825 0.880
0.202 0.340 0.013
0.153 0.399 0.511
0.155 0.869 0.240
0.647 0.314 0.685
0.628 0.795 0.386
0.112 0.872 0.713
0.692 0.304 0.189
```

---

Record 12
Computed, not measured: crystalline VSi2Os2 at its relaxed geometry at the PBE level of DFT.

Results
- crystal system = tetragonal

Structure (POSCAR):
```
VSi2Os2
1.0
-3.555 -1.276 -5.865
5.325 -3.816 -2.397
-1.115 -2.293 1.174
Si V Os
4 2 4
Direct
0.354 0.854 0.000
0.646 0.146 0.000
0.146 0.354 0.000
0.854 0.646 0.000
0.500 0.500 0.000
0.000 0.000 0.000
0.848 0.348 0.500
0.348 0.152 0.500
0.652 0.848 0.500
0.152 0.652 0.500
```

---

Record 13
Computed, not measured: crystalline VSiOs2 at its relaxed geometry at the PBE level of DFT.

Results
- crystal system = monoclinic

Structure (POSCAR):
```
VSiOs2
1.0
-2.923 -1.795 -2.689
-1.526 -0.974 2.308
-2.724 8.328 1.712
V Os Si
2 4 2
Direct
0.024 0.000 0.278
0.024 0.500 0.778
0.155 0.500 0.522
0.541 0.000 0.785
0.541 0.500 0.285
0.155 0.000 0.022
0.673 0.000 0.526
0.673 0.500 0.026
```

---

Record 14
Computed, not measured: crystalline VSi2Os3 at its relaxed geometry at the PBE level of DFT.

Results
- crystal system = tetragonal

Structure (POSCAR):
```
VSi2Os3
1.0
2.958 0.000 0.000
0.000 2.958 0.000
0.000 0.000 9.054
Os Si V
3 2 1
Direct
0.000 0.000 0.676
0.000 0.000 0.324
0.000 0.000 0.000
0.500 0.500 0.164
0.500 0.500 0.836
0.500 0.500 0.500
```

---

Record 15
Computed, not measured: crystalline VSiOs2 at its relaxed geometry at the PBE level of DFT.

Results
- crystal system = orthorhombic

Structure (POSCAR):
```
VSiOs2
1.0
2.861 0.000 0.000
0.000 4.392 0.000
0.000 0.000 4.367
Os V Si
2 1 1
Direct
0.000 0.000 0.035
0.500 0.500 0.263
0.000 0.500 0.747
0.500 0.000 0.561
```

---

Record 16
Computed, not measured: crystalline VSiOs2 at its relaxed geometry at the PBE level of DFT.

Results
- crystal system = triclinic

Structure (POSCAR):
```
VSiOs2
1.0
4.595 -0.001 0.000
-1.650 4.488 -0.002
-0.373 -0.431 5.341
V Os Si
2 4 2
Direct
0.683 0.311 0.161
0.183 0.882 0.685
0.170 0.332 0.965
0.249 0.391 0.470
0.164 0.847 0.204
0.663 0.802 0.858
0.678 0.828 0.377
0.726 0.326 0.664
```

---

Record 17
Computed, not measured: crystalline VSi4Os5 at its relaxed geometry at the PBE level of DFT.

Results
- crystal system = tetragonal

Structure (POSCAR):
```
VSi4Os5
1.0
2.956 0.000 0.000
0.000 2.956 0.000
0.000 0.000 14.985
Si V Os
4 1 5
Direct
0.000 0.000 0.599
0.000 0.000 0.401
0.000 0.000 0.203
0.000 0.000 0.797
0.000 0.000 0.000
0.500 0.500 0.893
0.500 0.500 0.697
0.500 0.500 0.107
0.500 0.500 0.500
0.500 0.500 0.303
```

---

Record 18
Computed, not measured: crystalline VSiOs2 at its relaxed geometry at the PBE level of DFT.

Results
- crystal system = trigonal

Structure (POSCAR):
```
VSiOs2
1.0
-2.950 -2.570 -0.836
-0.280 -1.605 -3.654
1.447 -4.698 -0.237
Si Os V
1 2 1
Direct
0.676 0.676 0.972
0.075 0.075 0.775
0.267 0.267 0.200
0.482 0.482 0.553
```

---

Record 19
Computed, not measured: crystalline V3SiOs at its relaxed geometry at the PBE level of DFT.

Results
- crystal system = cubic

Structure (POSCAR):
```
V3SiOs
1.0
-2.553 -0.761 3.349
-1.279 -3.662 -1.806
3.188 -2.078 1.957
V Si Os
3 1 1
Direct
0.000 0.000 0.500
0.500 0.000 0.000
0.000 0.500 0.000
0.000 0.000 0.000
0.500 0.500 0.500
```

---

Record 20
Computed, not measured: crystalline VSiOs2 at its relaxed geometry at the PBE level of DFT.

Results
- crystal system = trigonal

Structure (POSCAR):
```
VSiOs2
1.0
-2.544 1.154 -0.135
-2.270 -1.557 0.496
-1.147 1.852 8.452
V Os Si
1 2 1
Direct
0.000 0.000 0.000
0.907 0.907 0.278
0.093 0.093 0.722
0.500 0.500 0.500
```

---

Number 1: DFT total energy -32.3 eV/cell, formation energy without anion corrections -270 meV per atom. Number 2: DFT total energy -43.1 eV/cell, formation energy without anion corrections 1032 meV per atom. Number 3: DFT total energy -39.0 eV/cell, formation energy without anion corrections 1842 meV per atom. Number 4: DFT total energy -43.9 eV/cell, formation energy without anion corrections 450 meV per atom. Number 5: DFT total energy -32.2 eV/cell, formation energy without anion corrections -252 meV per atom. Number 6: DFT total energy -153.1 eV/cell, formation energy without anion corrections -318 meV per atom. Number 7: DFT total energy -61.1 eV/cell, formation energy without anion corrections 157 meV per atom. Number 8: DFT total energy -70.9 eV/cell, formation energy without anion corrections 388 meV per atom. Number 9: DFT total energy -152.2 eV/cell, formation energy without anion corrections -265 meV per atom. Number 10: DFT total energy -38.3 eV/cell, formation energy without anion corrections 1137 meV per atom. Number 11: DFT total energy -75.9 eV/cell, formation energy without anion corrections -232 meV per atom. Number 12: DFT total energy -86.8 eV/cell, formation energy without anion corrections -197 meV per atom. Number 13: DFT total energy -76.1 eV/cell, formation energy without anion corrections -265 meV per atom. Number 14: DFT total energy -55.7 eV/cell, formation energy without anion corrections -345 meV per atom. Number 15: DFT total energy -38.0 eV/cell, formation energy without anion corrections -252 meV per atom. Number 16: DFT total energy -76.0 eV/cell, formation energy without anion corrections -247 meV per atom. Number 17: DFT total energy -90.4 eV/cell, formation energy without anion corrections -343 meV per atom. Number 18: DFT total energy -37.3 eV/cell, formation energy without anion corrections -82 meV per atom. Number 19: DFT total energy -39.4 eV/cell, formation energy without anion corrections 913 meV per atom. Number 20: DFT total energy -35.5 eV/cell, formation energy without anion corrections 379 meV per atom.